# 1
## Pr3Zn2Co4 (PBE-GGA)

Data for a geometry-optimized Pr3Zn2Co4 structure.

a = 4.1741 Å, b = 5.5537 Å, c = 8.1637 Å
α = 98.15°, β = 90.00°, γ = 112.07°
Fractional coordinates of all 9 atoms:
Co 0.9258 0.8516 0.3743
Co 0.0742 0.1484 0.6257
Pr 0.0000 0.0000 0.0000
Pr 0.6305 0.2610 0.3733
Pr 0.3695 0.7390 0.6267
Zn 0.3311 0.6623 0.2249
Zn 0.6689 0.3377 0.7751
Co 0.2484 0.4969 0.9235
Co 0.7516 0.5031 0.0765

Computed properties:
Crystal system: monoclinic
Density of states at the Fermi level in states/eV per cell: 10.54
Symmetry: C2/m, No. 12
Formation enthalpy at 0 K in eV/atom: -0.120

=====

# 2
## Ac2PmO (PBE-GGA)

Data for a geometry-optimized Ac2PmO structure.

a = 3.8126 Å, b = 3.8126 Å, c = 10.4482 Å
α = 79.49°, β = 79.49°, γ = 60.00°
Fractional coordinates of all 4 atoms:
Ac 0.8823 0.8823 0.3531
Ac 0.1177 0.1177 0.6469
Pm 0.0000 0.0000 0.0000
O 0.5000 0.5000 0.5000

Computed properties:
Formation energy without anion corrections in meV per atom: -978
Crystal system: trigonal
Density of states at the Fermi level in states/eV per cell: 5.37
Symmetry: R-3m, No. 166

=====

# 3
## KGa2Sn2 (PBE-GGA)

Data for a geometry-optimized KGa2Sn2 structure.

a = 8.9767 Å, b = 8.9767 Å, c = 3.3659 Å
α = 90.00°, β = 90.00°, γ = 90.00°
Fractional coordinates of all 10 atoms:
Sn 0.8715 0.6285 0.0000
Ga 0.6540 0.8460 0.5000
Ga 0.1540 0.6540 0.5000
Sn 0.6285 0.1285 0.0000
Ga 0.8460 0.3460 0.5000
Sn 0.1285 0.3715 0.0000
Ga 0.3460 0.1540 0.5000
Sn 0.3715 0.8715 0.0000
K 0.0000 0.0000 0.0000
K 0.5000 0.5000 0.0000

Computed properties:
Polymorph energy (0 for the lowest one) in meV/atom: 126.1
Crystal system: tetragonal
Density of states at the Fermi level in states/eV per cell: 3.53
Symmetry: P4/mbm, No. 127
Formation enthalpy at 0 K in eV/atom: -0.040

=====

Look up the density of states at the Fermi level of the third one. 3.53 states/eV per cell

=====

Which value of density of states at the Fermi level does entry 3 give? 3.53 states/eV per cell